# 1
First-principles (GGA-PBE) data for SbAsO4 after structural relaxation, as listed in Alexandria.

Results
Formation energy from raw total energies ... -1.263 eV per atom
Size of the total moment ... 0.00 μB per formula unit
Symmetry ... P2_1/m (11)
VASP energy ... -6.0303 eV/atom
Volume ... 16.497 Å³ per atom

Cell lengths 4.943, 7.107, 5.673 Å; angles 90.00, 96.58, 90.00 degrees
Fractional positions:
Sb (0.184, 0.250, 0.199)
Sb (0.816, 0.750, 0.801)
As (0.283, 0.750, 0.389)
As (0.717, 0.250, 0.611)
O (0.180, 0.560, 0.219)
O (0.180, 0.940, 0.219)
O (0.185, 0.750, 0.676)
O (0.364, 0.250, 0.545)
O (0.636, 0.750, 0.455)
O (0.815, 0.250, 0.324)
O (0.820, 0.060, 0.781)
O (0.820, 0.440, 0.781)

---

# 2
First-principles (GGA-PBE) data for KIrRu after structural relaxation, as listed in Alexandria.

Results
Size of the total moment ... 1.05 μB per formula unit
Energy above the lowest structure with this stoichiometry ... 0.1592 eV/atom
Symmetry ... P-1 (2)
Formation energy from the elements ... 0.600 eV/atom
VASP energy ... -5.8112 eV/atom
Volume ... 29.094 Å³ per atom

Cell lengths 3.979, 4.606, 10.748 Å; angles 99.44, 90.61, 115.56 degrees
Fractional positions:
K (0.169, 0.354, 0.188)
K (0.831, 0.646, 0.812)
Ir (0.160, 0.319, 0.518)
Ir (0.840, 0.681, 0.482)
Ru (0.480, 0.954, 0.611)
Ru (0.520, 0.046, 0.389)

---

Which value of volume does entry 2 give? 29.094 Å³ per atom

---

Look up the size of the total moment of the first one. 0.00 μB per formula unit

---

Which formula does entry 2 have? KIrRu